Computed, not measured: CsYBe2F8 after structural relaxation at the PBE-GGA level of DFT.

Properties
- energy relative to the elements, uncorrected (eV/atom) = -3.495
- M_tot (μB per formula unit) = 0.14

Unit cell a=5.183 b=5.183 c=9.310 alpha=73.84 beta=73.84 gamma=60.00
Atoms (fractional coordinates):
Cs  0.000  0.000  0.000
Y  0.500  0.500  0.500
Be  0.758  0.758  0.725
Be  0.242  0.242  0.275
F  0.702  0.702  0.894
F  0.298  0.298  0.106
F  0.476  0.263  0.345
F  0.737  0.524  0.655
F  0.084  0.737  0.655
F  0.263  0.916  0.345
F  0.916  0.476  0.345
F  0.524  0.084  0.655